Compound: CsAcB2H8
Source: Alexandria
Functional: GGA-PBE
Structure: relaxed

Unit cell a=4.305 b=4.305 c=9.460 alpha=76.85 beta=76.85 gamma=60.00
Fractional coordinates of all 12 atoms:
Cs 0.500 0.500 0.500
Ac 0.000 0.000 0.000
B 0.260 0.260 0.221
B 0.740 0.740 0.779
H 0.215 0.215 0.356
H 0.433 0.433 0.176
H 0.785 0.785 0.644
H 0.959 0.433 0.176
H 0.041 0.567 0.824
H 0.433 0.959 0.176
H 0.567 0.041 0.824
H 0.567 0.567 0.824

Summary:
Volume in Å³/f.u.: 146.5
Crystal system: trigonal
E in eV/f.u.: -48.87
Symmetry: R-3m, No. 166